# 1
Computed, not measured: a relaxed Pr12Th5Sc3 crystal at the PBE level of DFT.

Geometry as extended XYZ:
```
80
Lattice="15.984 0.000 0.000 -5.328 15.070 0.000 -5.328 -7.535 13.051" Properties=species:S:1:pos:R:3 pbc="T T T"
Pr 11.483 3.467 3.414
Pr 7.433 8.268 7.493
Pr -4.502 12.526 1.816
Pr 10.913 7.277 2.144
Pr 2.654 -2.160 7.374
Pr 9.830 -4.991 11.235
Pr -0.559 0.679 3.112
Pr 1.838 0.923 7.821
Pr 2.921 5.808 1.295
Pr 5.887 6.856 9.940
Pr 2.105 6.123 8.669
Pr 5.585 1.986 12.203
Pr 3.223 1.412 4.382
Pr -1.838 -4.068 9.637
Pr -5.585 0.258 10.907
Pr -2.654 3.837 8.342
Pr -2.654 -5.997 12.083
Pr 7.735 7.793 2.144
Pr 7.982 13.532 0.968
Pr -0.826 8.458 5.230
Pr 7.166 2.544 1.816
Pr -0.010 5.375 5.677
Pr -4.769 6.802 7.493
Pr -2.407 -0.258 10.907
Pr -0.257 9.263 1.295
Pr -5.318 11.372 4.709
Pr -6.155 4.068 9.637
Pr 2.407 1.728 11.756
Pr 10.667 1.538 0.968
Pr 7.166 11.603 3.414
Pr 10.646 -3.837 8.342
Pr 2.407 -1.986 12.203
Pr 10.097 0.733 5.558
Pr -3.223 8.214 9.940
Pr 2.921 9.521 0.848
Pr 7.982 3.699 4.709
Pr -0.257 5.549 0.848
Pr -5.338 5.997 12.083
Pr 6.155 -0.923 7.821
Pr 5.585 -1.728 11.756
Pr 8.551 -0.679 3.112
Pr 5.338 2.160 7.374
Pr -1.838 4.991 11.235
Pr 4.769 -1.412 4.382
Pr -2.105 -0.733 5.558
Pr 3.490 6.613 5.230
Pr 0.559 8.947 8.669
Pr 2.674 9.695 5.677
Th 6.660 -4.709 11.420
Th 5.328 7.535 0.000
Th 1.332 -3.768 9.788
Th 3.996 11.303 3.263
Th -3.996 8.477 4.894
Th -1.332 0.942 8.157
Th 6.660 6.593 4.894
Th -1.332 12.245 1.631
Th -5.328 3.768 6.526
Th 7.992 0.000 0.000
Th -1.332 3.768 3.263
Th 0.000 0.000 0.000
Th 3.996 2.826 1.631
Th -2.664 -3.768 6.526
Th 9.324 -0.942 8.157
Th 2.664 3.768 6.526
Th 1.332 4.709 11.420
Th 6.660 3.768 9.788
Th -2.664 7.535 0.000
Th 5.328 -3.768 6.526
Sc 11.988 0.000 3.263
Sc -3.996 2.826 11.420
Sc 3.996 0.000 9.788
Sc -3.996 -2.826 11.420
Sc 6.660 0.942 4.894
Sc 1.332 7.535 3.263
Sc 1.332 -0.942 4.894
Sc 9.324 10.361 1.631
Sc -6.660 7.535 9.788
Sc 9.324 4.709 1.631
Sc 3.996 8.477 8.157
Sc -1.332 6.593 8.157
```

* energy of formation: 1.080 eV/atom
* space group: Ia-3d

***

# 2
Computed, not measured: a relaxed Pr2ThSc crystal at the PBE level of DFT.

Geometry as extended XYZ:
```
4
Lattice="-2.186 -1.485 -2.427 -2.459 -2.401 1.031 -9.158 7.205 1.187" Properties=species:S:1:pos:R:3 pbc="T T T"
Pr -7.210 5.030 0.764
Pr -3.503 0.888 -0.041
Sc -6.899 1.657 -0.105
Th -12.248 4.607 0.255
```

* relative energy among the computed polymorphs: 4 meV per atom
* energy of formation: 0.081 eV/atom
* space group: R3m

***

# 3
Computed, not measured: a relaxed PrThSc3 crystal at the PBE level of DFT.

Geometry as extended XYZ:
```
20
Lattice="-3.676 3.325 0.032 -4.127 -4.588 2.696 4.588 4.925 15.402" Properties=species:S:1:pos:R:3 pbc="T T T"
Sc -4.008 1.094 1.763
Sc -0.210 1.488 13.363
Sc -1.474 3.807 11.103
Sc -5.059 -0.110 6.147
Sc -0.617 1.141 2.528
Sc -3.005 2.174 4.767
Sc -1.742 -0.145 7.028
Sc 0.792 2.567 16.367
Sc 1.022 2.892 8.861
Sc -2.598 2.520 15.602
Sc 1.844 3.772 11.983
Sc -4.237 0.769 9.269
Pr -0.540 4.810 14.155
Pr 0.276 2.099 5.607
Pr -2.675 -1.148 3.975
Pr -3.491 1.563 12.523
Th 2.878 4.886 15.002
Th -1.018 0.624 10.197
Th -2.197 3.037 7.933
Th -6.093 -1.224 3.128
```

* relative energy among the computed polymorphs: 0 meV per atom
* energy of formation: 0.050 eV/atom
* space group: Pnma

***

# 4
Computed, not measured: a relaxed PrThSc3 crystal at the PBE level of DFT.

Geometry as extended XYZ:
```
10
Lattice="-2.547 -1.876 -1.318 3.062 -7.443 0.226 -6.758 -3.300 8.848" Properties=species:S:1:pos:R:3 pbc="T T T"
Sc -5.515 -6.088 5.968
Sc -3.527 -2.211 1.028
Sc -5.778 -2.966 6.502
Sc -0.851 -3.498 2.163
Sc -5.392 -9.121 5.594
Sc -0.728 -6.531 1.789
Th -1.277 -3.782 -1.059
Th 1.792 -5.537 -0.033
Pr -3.491 -4.330 4.002
Pr -2.752 -8.289 3.754
```

* relative energy among the computed polymorphs: 207 meV per atom
* energy of formation: 0.257 eV/atom
* space group: C2/m

***

Which of these has the lowest energy of formation? number 3